## Rh2AuCl (GGA-PBE)

Data for Rh2AuCl after structural relaxation.

Output
Total moment in μB per formula unit: 1.9
Raw total energy in eV per atom: -4.27
Formation energy without anion corrections in eV per formula unit: 2.74
Calculated density in g cm⁻³: 11.0

Unit cell a=4.542 b=4.542 c=4.542 alpha=60.00 beta=60.00 gamma=60.00
Each line ends with the local moment (μB).
Atoms (fractional coordinates):
Au 0.500 0.500 0.500  0.07
Cl 0.750 0.750 0.750  0.06
Rh 0.000 0.000 0.000  1.02
Rh 0.250 0.250 0.250  0.75

## MnAlAs2Br (GGA-PBE)

Data for MnAlAs2Br after structural relaxation.

Output
Total moment in μB per formula unit: 4.2
Raw total energy in eV per atom: -4.26
Formation energy without anion corrections in eV per formula unit: 2.60
Calculated density in g cm⁻³: 4.3

Unit cell a=4.879 b=4.879 c=5.095 alpha=90.00 beta=90.00 gamma=90.00
Each line ends with the local moment (μB).
Atoms (fractional coordinates):
As 0.000 0.500 0.000  -0.16
As 0.500 0.000 0.000  -0.16
Mn 0.500 0.500 0.500  4.42
Al 0.000 0.000 0.000  0.00
Br 0.000 0.000 0.500  -0.03

## GeSbTe2Pt (GGA-PBE)

Data for GeSbTe2Pt after structural relaxation.

Output
Total moment in μB per formula unit: 0.0
Raw total energy in eV per atom: -3.76
Formation energy without anion corrections in eV per formula unit: 2.27
Calculated density in g cm⁻³: 7.1

Unit cell a=5.453 b=5.453 c=5.062 alpha=90.00 beta=90.00 gamma=90.00
Atoms (fractional coordinates):
Sb 0.000 0.000 0.500
Ge 0.500 0.500 0.500
Te 0.000 0.500 0.000
Te 0.500 0.000 0.000
Pt 0.000 0.000 0.000

## CsTh2CuSe5 (GGA-PBE)

Data for CsTh2CuSe5 after structural relaxation.

Output
Total moment in μB per formula unit: 0.0
Raw total energy in eV per atom: -5.55
Formation energy without anion corrections in eV per formula unit: -12.71
Calculated density in g cm⁻³: 7.0

Unit cell a=8.262 b=8.262 c=9.390 alpha=116.10 beta=116.10 gamma=90.00
Atoms (fractional coordinates):
Cs 0.250 0.250 0.500
Cs 0.750 0.750 0.500
Th 0.164 0.336 0.000
Th 0.664 0.164 0.000
Th 0.336 0.836 0.000
Th 0.836 0.664 0.000
Cu 0.250 0.750 0.500
Cu 0.750 0.250 0.500
Se 0.984 0.484 0.249
Se 0.735 0.235 0.751
Se 0.016 0.516 0.751
Se 0.235 0.016 0.751
Se 0.516 0.735 0.751
Se 0.765 0.984 0.249
Se 0.484 0.265 0.249
Se 0.265 0.765 0.249
Se 0.500 0.500 0.000
Se 0.000 0.000 0.000

## VTcPd2 (GGA-PBE)

Data for VTcPd2 after structural relaxation.

Output
Total moment in μB per formula unit: 3.0
Raw total energy in eV per atom: -7.17
E_form in eV/atom: 0.30
Calculated density in g cm⁻³: 9.9

Unit cell a=4.414 b=4.414 c=4.414 alpha=60.00 beta=60.00 gamma=60.00
Each line ends with the local moment (μB).
Atoms (fractional coordinates):
Tc 0.500 0.500 0.500  0.71
Pd 0.250 0.250 0.250  0.16
Pd 0.750 0.750 0.750  0.16
V 0.000 0.000 0.000  1.65